{
  "formula": "MgIr2Cl",
  "functional": "GGA-PBEsol",
  "state": "optimized geometry",
  "space_group": "I-4m2 (119)",
  "e_form_raw_mev_per_atom": 529,
  "e_tot_ev_per_atom": -5.31,
  "lattice": [[-0.356, 1.883, -3.875], [-1.824, -3.919, 0.063], [-2.075, 2.224, 3.072]],
  "species": ["Cl", "Mg", "Ir", "Ir"],
  "fractional_positions": [[0.500, 0.750, 0.250], [0.000, 0.500, 0.500], [0.000, 0.000, 0.000], [0.500, 0.250, 0.750]]
}

{
  "formula": "MgIr2Cl",
  "functional": "GGA-PBEsol",
  "state": "optimized geometry",
  "space_group": "Cmm2 (35)",
  "e_form_raw_mev_per_atom": 205,
  "e_tot_ev_per_atom": -5.64,
  "lattice": [[2.888, -0.011, 0.000], [-1.443, 2.502, 0.000], [0.000, 0.000, 8.608]],
  "species": ["Ir", "Ir", "Cl", "Mg"],
  "fractional_positions": [[0.000, 0.000, 0.994], [0.500, 0.500, 0.746], [0.500, 0.500, 0.269], [0.000, 0.000, 0.491]]
}

{
  "formula": "MgIr2Cl",
  "functional": "GGA-PBEsol",
  "state": "optimized geometry",
  "space_group": "Pmmm (47)",
  "e_form_raw_mev_per_atom": 503,
  "e_tot_ev_per_atom": -5.34,
  "lattice": [[-2.734, 0.590, 0.372], [-0.862, -4.212, 0.341], [0.747, 0.258, 5.081]],
  "species": ["Ir", "Ir", "Cl", "Mg"],
  "fractional_positions": [[0.000, 0.000, 0.757], [0.000, 0.000, 0.243], [0.500, 0.500, 0.500], [0.500, 0.500, 0.000]]
}

{
  "formula": "MgIr2Cl",
  "functional": "GGA-PBEsol",
  "state": "optimized geometry",
  "space_group": "I4/mmm (139)",
  "e_form_raw_mev_per_atom": 293,
  "e_tot_ev_per_atom": -5.55,
  "lattice": [[3.524, 0.000, 0.000], [0.000, 3.524, 0.000], [-1.762, -1.762, 5.744]],
  "species": ["Mg", "Cl", "Ir", "Ir"],
  "fractional_positions": [[0.500, 0.500, 0.000], [0.000, 0.000, 0.000], [0.750, 0.250, 0.500], [0.250, 0.750, 0.500]]
}